Entry 1:
Entry from Alexandria via LeMat-Bulk: a relaxed PmAlF crystal (PBE-GGA).

The calculated volume comes out at 119 Å³/cell. The uncorrected formation energy is -1.907 eV per atom.

Geometry as extended XYZ:
```
6
Lattice="5.065 1.008 -2.194 1.547 3.132 -1.098 -14.677 -6.655 15.271" Properties=species:S:1:pos:R:3 pbc="T T T"
Al 2.681 2.696 -0.739
Al -10.746 -5.211 12.718
Pm -0.824 -0.724 2.878
Pm -7.241 -1.791 9.101
F -4.534 0.052 5.967
F -3.531 -2.568 6.013
```



Entry 2:
Entry from Alexandria via LeMat-Bulk: a relaxed K2CdO4 crystal (PBE-GGA).

The calculated volume comes out at 268 Å³/cell. The uncorrected formation energy is -0.818 eV per atom.

Geometry as extended XYZ:
```
14
Lattice="6.646 0.352 2.285 2.721 6.661 -0.541 0.466 -1.035 6.589" Properties=species:S:1:pos:R:3 pbc="T T T"
K 4.967 2.719 4.112
K 6.970 1.654 7.012
K 2.114 1.843 1.026
K 7.511 5.463 5.143
Cd 5.423 5.553 1.985
Cd 8.988 6.306 2.011
O 4.706 1.073 1.775
O 6.942 4.103 2.765
O 4.933 4.999 5.633
O 3.659 0.864 2.871
O 5.689 3.940 6.407
O 3.352 5.829 2.660
O 8.600 3.236 8.423
O 6.639 0.561 4.590
```



Entry 3:
Entry from Alexandria via LeMat-Bulk: a relaxed HfV2Si2 crystal (PBE-GGA).

The calculated volume comes out at 80 Å³/cell. The uncorrected formation energy is -0.078 eV per atom. The value obtained for the energy relative to the lowest polymorph listed for this composition is 471.2 meV per atom.

Geometry as extended XYZ:
```
5
Lattice="-2.792 1.798 -3.059 -3.098 0.662 3.217 -1.436 4.797 0.798" Properties=species:S:1:pos:R:3 pbc="T T T"
Si -3.587 3.912 -1.091
Si -3.740 3.345 2.047
Hf 0.000 0.000 0.000
V -2.488 2.310 0.297
V -4.838 4.946 0.659
```



What is the calculated volume in the third record? 80 Å³/cell



Number 2 is which compound? K2CdO4



Look up the calculated volume of the third one. 80 Å³/cell